The following is a DFT calculation (GGA-PBE) of a relaxed structure of PuBeI.

a = 4.390 Å, b = 19.435 Å, c = 3.587 Å
α = 90.00°, β = 90.00°, γ = 90.00°
Space group Cmcm (No. 63)
Asymmetric unit:
Pu (0.000, 0.038, 0.250) (multiplicity 4)
Be (0.000, 0.466, 0.250) (multiplicity 4)
I (0.000, 0.344, 0.250) (multiplicity 4)

Computed properties:
E_form (uncorrected)   0.000 eV per atom
Total magnetic moment   3.7 Bohr magnetons per cell



The following is a DFT calculation (GGA-PBE) of a relaxed structure of RbBeI3.

a = 8.045 Å, b = 9.910 Å, c = 13.961 Å
α = 90.00°, β = 123.64°, γ = 90.00°
Space group P2_1/c (No. 14)
Asymmetric unit:
Rb (0.174, 0.115, 0.242) (multiplicity 4)
Be (0.194, 0.664, 0.095) (multiplicity 4)
I (0.071, 0.202, 0.940) (multiplicity 4)
I (0.308, 0.686, 0.977) (multiplicity 4)
I (0.346, 0.517, 0.249) (multiplicity 4)

Computed properties:
E_form (uncorrected)   -0.929 eV per atom
Total magnetic moment   0.0 Bohr magnetons per cell



The following is a DFT calculation (GGA-PBE) of a relaxed structure of RbBe2I.

a = 8.117 Å, b = 8.117 Å, c = 8.117 Å
α = 90.00°, β = 90.00°, γ = 90.00°
Space group Fm-3m (No. 225)
Asymmetric unit:
Rb (0.000, 0.000, 0.000) (multiplicity 4)
Be (0.250, 0.250, 0.250) (multiplicity 8)
I (0.000, 0.000, 0.500) (multiplicity 4)

Computed properties:
E_form (uncorrected)   1.048 eV per atom
Total magnetic moment   0.0 Bohr magnetons per cell